Entry i
An optimized crystal structure of MoOs2Au, computed with GGA-PBE.

Values from the calculation:
SG ... Cm, No. 8

a b c (Å): 4.8742 4.8742 4.8187
angles (deg): 80.29 80.29 33.37
Last column: nearest neighbours and their distance in Å.
Fractional coordinates of all 4 atoms:
1 Mo 0.2563 0.2563 0.2358  7 Os 2.65-2.94, 3 Au 2.78-2.87, 2 Mo 2.80
2 Au 0.4993 0.4993 0.4972  7 Os 2.77-2.91, 3 Mo 2.78-2.87, 2 Au 2.80
3 Os 0.0047 0.0047 0.9911  5 Os 2.66-2.85, 4 Au 2.77-2.80, 3 Mo 2.79-2.81
4 Os 0.7397 0.7397 0.7759  4 Mo 2.65-2.94, 5 Os 2.66-2.85, 3 Au 2.81-2.91

***

Entry ii
An optimized crystal structure of MoOs2Au, computed with GGA-PBE.

Values from the calculation:
SG ... C2/m, No. 12

a b c (Å): 4.8586 4.8586 4.8657
angles (deg): 79.89 79.89 33.44
Last column: nearest neighbours and their distance in Å.
Fractional coordinates of all 4 atoms:
1 Mo 0.2500 0.2500 0.2500  6 Os 2.68-2.85, 2 Mo 2.80, 4 Au 2.81
2 Au 0.7500 0.7500 0.7500  6 Os 2.79-2.92, 2 Au 2.80, 4 Mo 2.81
3 Os 0.5121 0.5121 0.4752  4 Os 2.64-2.80, 3 Mo 2.68-2.85, 3 Au 2.79-2.92
4 Os 0.9879 0.9879 0.0248  4 Os 2.64-2.80, 3 Mo 2.68-2.85, 3 Au 2.79-2.92

***

Most stable: entry ii. Least stable: entry i.

***

Entry i
An optimized crystal structure of MoOs2Au, computed with GGA-PBE.

Values from the calculation:
SG ... C2, No. 5

a b c (Å): 4.8914 4.8916 4.8885
angles (deg): 133.00 133.00 68.69
Last column: nearest neighbours and their distance in Å.
Fractional coordinates of all 4 atoms:
1 Os 0.9982 0.0023 0.0002  4 Au 2.75-2.77, 4 Os 2.77-2.84, 4 Mo 2.79-2.83
2 Os 0.7602 0.2397 0.5000  4 Mo 2.66-2.86, 4 Os 2.77-2.84, 4 Au 2.78-2.84
3 Au 0.4996 0.5003 0.0001  8 Os 2.75-2.84, 4 Mo 2.79-2.83
4 Mo 0.2420 0.7577 0.4998  8 Os 2.66-2.86, 4 Au 2.79-2.83

***

Entry ii
An optimized crystal structure of MoOs2Au, computed with GGA-PBE.

Values from the calculation:
SG ... Pmmm, No. 47

a b c (Å): 2.8213 4.7590 4.6780
angles (deg): 90.00 90.00 90.00
Last column: nearest neighbours and their distance in Å.
Fractional coordinates of all 4 atoms:
1 Os 0.5000 0.5000 0.0000  4 Mo 2.73, 6 Os 2.77-2.82
2 Os 0.0000 0.0000 0.0000  4 Au 2.73, 6 Os 2.77-2.82
3 Mo 0.0000 0.5000 0.5000  4 Os 2.73, 4 Au 2.77, 2 Mo 2.82
4 Au 0.5000 0.0000 0.5000  4 Os 2.73, 4 Mo 2.77, 2 Au 2.82

***

Most stable: entry i. Least stable: entry ii.

***

Entry i
An optimized crystal structure of MoOs2Au, computed with GGA-PBE.

Values from the calculation:
SG ... P4/mmm, No. 123

a b c (Å): 3.8482 3.9865 3.9865
angles (deg): 90.00 90.00 90.00
Last column: nearest neighbours and their distance in Å.
Fractional coordinates of all 4 atoms:
1 Os 0.0000 0.5000 0.5000  4 Mo 2.77, 4 Au 2.77, 4 Os 2.82
2 Os 0.0000 0.0000 0.0000  4 Mo 2.77, 4 Au 2.77, 4 Os 2.82
3 Mo 0.5000 0.0000 0.5000  8 Os 2.77, 4 Au 2.82
4 Au 0.5000 0.5000 0.0000  8 Os 2.77, 4 Mo 2.82

***

Entry ii
An optimized crystal structure of MoOs2Au, computed with GGA-PBE.

Values from the calculation:
SG ... P4mm, No. 99

a b c (Å): 2.7775 2.7775 8.1457
angles (deg): 90.00 90.00 90.00
Last column: nearest neighbours and their distance in Å.
Fractional coordinates of all 4 atoms:
1 Os 0.0000 0.0000 0.0177  8 Os 2.60-2.78, 4 Mo 2.89
2 Os 0.5000 0.5000 0.2269  8 Os 2.60-2.78
3 Mo 0.5000 0.5000 0.7572  4 Mo 2.78, 4 Au 2.88, 4 Os 2.89
4 Au 0.0000 0.0000 0.4983  4 Au 2.78, 4 Mo 2.88, 4 Os 2.96

***

Most stable: entry ii. Least stable: entry i.

***

Entry i
An optimized crystal structure of Mo2OsAu, computed with GGA-PBE.

Values from the calculation:
SG ... Pmmm, No. 47

a b c (Å): 2.8215 3.9820 5.6482
angles (deg): 90.00 90.00 90.00
Last column: nearest neighbours and their distance in Å.
Fractional coordinates of all 4 atoms:
1 Mo 0.0000 0.0000 0.4753  3 Mo 2.54-2.82, 4 Os 2.75
2 Mo 0.0000 0.0000 0.0247  3 Mo 2.54-2.82, 4 Os 2.75
3 Os 0.5000 0.5000 0.2500  8 Mo 2.75, 2 Os 2.82, 2 Au 2.82
4 Au 0.5000 0.5000 0.7500  2 Au 2.82, 2 Os 2.82, 8 Mo 2.89

***

Entry ii
An optimized crystal structure of Mo2OsAu, computed with GGA-PBE.

Values from the calculation:
SG ... F-43m, No. 216

a b c (Å): 4.4873 4.4873 4.4873
angles (deg): 60.00 60.00 60.00
Last column: nearest neighbours and their distance in Å.
Fractional coordinates of all 4 atoms:
1 Mo 0.7500 0.7500 0.7500  4 Mo 2.75, 4 Au 2.75
2 Mo 0.0000 0.0000 0.0000  4 Os 2.75, 4 Mo 2.75
3 Os 0.2500 0.2500 0.2500  4 Au 2.75, 4 Mo 2.75
4 Au 0.5000 0.5000 0.5000  4 Mo 2.75, 4 Os 2.75

***

Most stable: entry i. Least stable: entry ii.

***

Entry i
An optimized crystal structure of Mo3PAu, computed with GGA-PBE.

Values from the calculation:
SG ... Pm-3m, No. 221

a b c (Å): 4.8471 4.8471 4.8471
angles (deg): 90.00 90.00 90.00
Last column: nearest neighbours and their distance in Å.
Fractional coordinates of all 5 atoms:
1 Mo 0.5000 0.0000 0.0000  2 Au 2.42
2 Mo 0.0000 0.0000 0.5000  2 Au 2.42
3 Mo 0.0000 0.5000 0.0000  2 Au 2.42
4 P 0.5000 0.5000 0.5000  12 Mo 3.43
5 Au 0.0000 0.0000 0.0000  6 Mo 2.42

***

Entry ii
An optimized crystal structure of Mo3PAu, computed with GGA-PBE.

Values from the calculation:
SG ... Pm-3m, No. 221

a b c (Å): 4.4500 4.4500 4.4500
angles (deg): 90.00 90.00 90.00
Last column: nearest neighbours and their distance in Å.
Fractional coordinates of all 5 atoms:
1 Au 0.5000 0.5000 0.5000  12 Mo 3.15
2 Mo 0.0000 0.0000 0.5000  2 P 2.23
3 Mo 0.0000 0.5000 0.0000  2 P 2.23
4 Mo 0.5000 0.0000 0.0000  2 P 2.23
5 P 0.0000 0.0000 0.0000  6 Mo 2.23

***

Most stable: entry ii. Least stable: entry i.

***

Entry i
An optimized crystal structure of Pa2MoAu, computed with GGA-PBE.

Values from the calculation:
SG ... P4/mmm, No. 123

a b c (Å): 4.2010 4.5184 4.5184
angles (deg): 90.00 90.00 90.00
Last column: nearest neighbours and their distance in Å.
Fractional coordinates of all 4 atoms:
1 Pa 0.0000 0.5000 0.0000  4 Mo 3.08, 4 Au 3.08, 4 Pa 3.20
2 Pa 0.0000 0.0000 0.5000  4 Mo 3.08, 4 Au 3.08, 4 Pa 3.20
3 Mo 0.5000 0.5000 0.5000  8 Pa 3.08, 4 Au 3.20
4 Au 0.5000 0.0000 0.0000  8 Pa 3.08, 4 Mo 3.20

***

Entry ii
An optimized crystal structure of Pa2MoAu, computed with GGA-PBE.

Values from the calculation:
SG ... P4/mmm, No. 123

a b c (Å): 3.3610 3.3610 7.8804
angles (deg): 90.00 90.00 90.00
Last column: nearest neighbours and their distance in Å.
Fractional coordinates of all 4 atoms:
1 Au 0.5000 0.5000 0.5000  8 Pa 3.22, 4 Au 3.36
2 Mo 0.5000 0.5000 0.0000  8 Pa 2.96
3 Pa 0.0000 0.0000 0.2241  4 Mo 2.96, 4 Au 3.22
4 Pa 0.0000 0.0000 0.7759  4 Mo 2.96, 4 Au 3.22

***

Entry iii
An optimized crystal structure of Pa2MoAu, computed with GGA-PBE.

Values from the calculation:
SG ... R-3m, No. 166

a b c (Å): 3.8975 3.8975 9.0888
angles (deg): 77.62 77.62 60.00
Last column: nearest neighbours and their distance in Å.
Fractional coordinates of all 4 atoms:
1 Mo 0.5000 0.5000 0.5000  6 Pa 2.72
2 Pa 0.8915 0.8915 0.3256  3 Mo 2.72, 1 Au 2.87
3 Pa 0.1085 0.1085 0.6744  3 Mo 2.72, 1 Au 2.87
4 Au 0.0000 0.0000 0.0000  2 Pa 2.87

***

Most stable: entry ii. Least stable: entry iii.